VASP calculation (GGA-PBE) on K2LiRu after structural relaxation.

Calculated values
- Distance to the lowest polymorph of the same formula: 1.73 eV/f.u.
- ΔE_f: 1.16 eV/atom
- V: 28.81 Å³ per atom

Cell lengths 11.842, 11.842, 11.842 Å; angles 158.12, 158.12, 31.14 degrees
Atoms (fractional coordinates):
K  0.123  0.625  0.998
K  0.375  0.373  0.498
K  0.627  0.125  0.002
K  0.875  0.877  0.502
Li  0.250  0.750  0.500
Li  0.500  0.500  0.000
Ru  0.000  0.000  0.000
Ru  0.750  0.250  0.500


VASP calculation (GGA-PBE) on K2LiRu after structural relaxation.

Calculated values
- Distance to the lowest polymorph of the same formula: 0.06 eV/f.u.
- ΔE_f: 0.74 eV/atom
- V: 30.85 Å³ per atom

Cell lengths 3.024, 4.173, 9.778 Å; angles 90.00, 90.00, 90.00 degrees
Atoms (fractional coordinates):
K  0.000  0.000  0.000
K  0.500  0.500  0.425
Li  0.000  0.000  0.681
Ru  0.500  0.500  0.757


VASP calculation (GGA-PBE) on K2LiRu after structural relaxation.

Calculated values
- Distance to the lowest polymorph of the same formula: 0.95 eV/f.u.
- ΔE_f: 0.96 eV/atom
- V: 26.74 Å³ per atom

Cell lengths 12.295, 12.295, 12.295 Å; angles 14.90, 14.90, 14.90 degrees
Atoms (fractional coordinates):
K  0.239  0.239  0.239
K  0.761  0.761  0.761
Li  0.000  0.000  0.000
Ru  0.500  0.500  0.500


VASP calculation (GGA-PBE) on KLi2Ru after structural relaxation.

Calculated values
- Distance to the lowest polymorph of the same formula: 0.51 eV/f.u.
- ΔE_f: 0.63 eV/atom
- V: 18.27 Å³ per atom

Cell lengths 5.376, 5.376, 2.695 Å; angles 97.94, 97.94, 105.44 degrees
Atoms (fractional coordinates):
K  0.000  0.000  0.000
Li  0.000  0.500  0.500
Li  0.500  0.000  0.500
Ru  0.500  0.500  0.000


VASP calculation (GGA-PBE) on KLi2Ru after structural relaxation.

Calculated values
- Distance to the lowest polymorph of the same formula: 0.48 eV/f.u.
- ΔE_f: 0.62 eV/atom
- V: 20.02 Å³ per atom

Cell lengths 11.041, 11.041, 11.041 Å; angles 15.15, 15.15, 15.15 degrees
Atoms (fractional coordinates):
K  0.000  0.000  0.000
Li  0.228  0.228  0.228
Li  0.479  0.479  0.479
Ru  0.749  0.749  0.749


VASP calculation (GGA-PBE) on KLiRu2 after structural relaxation.

Calculated values
- Distance to the lowest polymorph of the same formula: 4.37 eV/f.u.
- ΔE_f: 1.56 eV/atom
- V: 17.99 Å³ per atom

Cell lengths 4.668, 4.668, 4.668 Å; angles 60.00, 60.00, 60.00 degrees
Atoms (fractional coordinates):
K  0.000  0.000  0.000
Li  0.500  0.500  0.500
Ru  0.250  0.250  0.250
Ru  0.750  0.750  0.750


Look up the ΔE_f of the first one.
1.16 eV/atom


V of number 4 (KLi2Ru)?
18.27 Å³ per atom